VASP calculation (PBE-GGA) on an optimized crystal structure of NaLaSe3.

Cell: 5.0923 5.0923 5.0923 Å, 90.00 90.00 90.00°
Element x y z (fractional)
La: 0.5000 0.5000 0.5000
Na: 0.0000 0.0000 0.0000
Se: 0.5000 0.0000 0.0000
Se: 0.0000 0.5000 0.0000
Se: 0.0000 0.0000 0.5000

- M_tot: 1.8 Bohr magnetons per cell
- Polymorph energy (0 for the lowest one): 1.119 eV per formula unit
- Formation energy (no corrections): -0.5847 eV per atom
- Crystal system: cubic

***

VASP calculation (PBE-GGA) on an optimized crystal structure of Ba2CdTe.

Cell: 4.3642 4.3412 9.3088 Å, 62.18 90.00 90.00°
Element x y z (fractional)
Cd: 0.5000 0.2500 0.2500
Te: 0.5000 0.7500 0.7500
Ba: 0.0000 0.4929 0.5072
Ba: 0.0000 0.0071 0.9928

- M_tot: 0.0 Bohr magnetons per cell
- Polymorph energy (0 for the lowest one): 0.000 eV per formula unit
- Formation energy (no corrections): -0.9249 eV per atom
- Crystal system: orthorhombic

***

VASP calculation (PBE-GGA) on an optimized crystal structure of ZnNiIr.

Cell: 4.5932 4.5932 4.5932 Å, 146.06 132.39 59.74°
Element x y z (fractional)
Ir: 0.9963 0.9963 0.0000
Ni: 0.3355 0.3355 0.0000
Zn: 0.6683 0.6683 0.0000

- M_tot: 0.5 Bohr magnetons per cell
- Polymorph energy (0 for the lowest one): 0.349 eV per formula unit
- Crystal system: orthorhombic

***

VASP calculation (PBE-GGA) on an optimized crystal structure of Be2Nb2Fe5Re.

Cell: 3.0586 8.7577 8.7577 Å, 90.00 90.00 90.00°
Element x y z (fractional)
Be: 0.0000 0.3803 0.1197
Be: 0.0000 0.6197 0.8803
Be: 0.0000 0.8803 0.3803
Be: 0.0000 0.1197 0.6197
Fe: 0.5000 0.2108 0.0690
Fe: 0.5000 0.0690 0.7892
Fe: 0.5000 0.2892 0.5690
Fe: 0.5000 0.7108 0.4310
Fe: 0.5000 0.7892 0.9310
Fe: 0.5000 0.5690 0.7108
Fe: 0.5000 0.0000 0.5000
Fe: 0.5000 0.5000 0.0000
Fe: 0.5000 0.4310 0.2892
Fe: 0.5000 0.9310 0.2108
Nb: 0.0000 0.3257 0.8257
Nb: 0.0000 0.1743 0.3257
Nb: 0.0000 0.6743 0.1743
Nb: 0.0000 0.8257 0.6743
Re: 0.0000 0.5000 0.5000
Re: 0.0000 0.0000 0.0000

- M_tot: 1.3 Bohr magnetons per cell
- E_tot: -8.362 eV/atom
- Crystal system: tetragonal

***

VASP calculation (PBE-GGA) on an optimized crystal structure of PuTh3Bi4.

Cell: 4.5893 7.9489 7.9489 Å, 109.45 90.00 90.00°
Element x y z (fractional)
Th: 0.0000 0.5000 0.0000
Th: 0.0000 0.0000 0.5000
Th: 0.5000 0.5000 0.5000
Bi: 0.0000 0.2473 0.2473
Bi: 0.0000 0.7527 0.7527
Bi: 0.5000 0.7514 0.2486
Bi: 0.5000 0.2486 0.7514
Pu: 0.5000 0.0000 0.0000

- M_tot: 5.8 Bohr magnetons per cell
- E_tot: -7.053 eV/atom
- Crystal system: orthorhombic

***

VASP calculation (PBE-GGA) on an optimized crystal structure of Sc2TiCd.

Cell: 4.1885 4.1885 10.6302 Å, 78.64 78.64 90.00°
Element x y z (fractional)
Sc: 0.8750 0.8726 0.7500
Sc: 0.6226 0.1250 0.2500
Sc: 0.1274 0.6250 0.2500
Sc: 0.3750 0.3774 0.7500
Cd: 0.7500 0.2500 0.5000
Cd: 0.0000 0.0000 0.0000
Ti: 0.2500 0.7500 0.5000
Ti: 0.5000 0.5000 0.0000

- M_tot: 0.0 Bohr magnetons per cell
- E_tot: -4.984 eV/atom
- Crystal system: tetragonal

***

Calculated calculated volume in order - 26.41; 39.00; 13.20; 11.73; 34.18; 22.39 Å³ per atom